1.
A geometry-optimized LiDy2PaSb4 structure, computed with PBE.

As for the formation energy from raw total energies: -0.73 eV/atom. The density of states at the Fermi level comes out at 2.98 states/eV/cell. The total energy is -5.367 eV per atom.

The space group is P2/m (No. 10) and the conventional cell measures 7.4071, 4.3928 and 7.5933 Å, with angles of 90.00, 108.89 and 90.00 degrees. The inequivalent atoms are Li at (0.0000, 0.0000, 0.0000), Dy at (0.0000, 0.5000, 0.5000), Dy at (0.5000, 0.0000, 0.5000), Pa at (0.5000, 0.5000, 0.0000), Sb at (0.2477, 0.0000, 0.7570) and Sb at (0.2512, 0.5000, 0.2435).

---

2.
A geometry-optimized Y4TeSe2S structure, computed with PBE.

As for the formation energy from raw total energies: -1.69 eV/atom. The density of states at the Fermi level comes out at 3.14 states/eV/cell. The total energy is -6.699 eV per atom.

The space group is P2/m (No. 10) and the conventional cell measures 7.1472, 4.0984 and 7.2078 Å, with angles of 90.00, 109.23 and 90.00 degrees. The inequivalent atoms are Y at (0.2385, 0.0000, 0.2188), Y at (0.2583, 0.5000, 0.7849), Te at (0.0000, 0.0000, 0.5000), Se at (0.5000, 0.0000, 0.0000), Se at (0.5000, 0.5000, 0.5000) and S at (0.0000, 0.5000, 0.0000).

---

3.
A geometry-optimized Sb2Rh structure, computed with PBE.

As for the formation energy from raw total energies: 0.07 eV/atom. The density of states at the Fermi level comes out at 3.69 states/eV/cell. The total energy is -5.131 eV per atom.

The space group is P6_3/mmc (No. 194) and the conventional cell measures 4.5319, 4.5319 and 7.6581 Å, with angles of 90.00, 90.00 and 120.00 degrees. The inequivalent atoms are Sb at (0.0000, 0.0000, 0.0000), Sb at (0.3333, 0.6667, 0.2500) and Rh at (0.3333, 0.6667, 0.7500).

---

4.
A geometry-optimized FeIr2Au structure, computed with PBE.

For the energy above the most stable polymorph in this dataset, the calculation gives 104.3 meV per atom. As for the energy relative to the elements: 0.230 eV per atom. The density of states at the Fermi level comes out at 9.17 states/eV/cell. The total energy is -7.135 eV per atom.

The space group is Cmmm (No. 65) and the conventional cell measures 2.8032, 4.6961 and 9.2631 Å, with angles of 90.00, 90.00 and 90.00 degrees. The inequivalent atoms are Fe at (0.0000, 0.0000, 0.0000), Ir at (0.0000, 0.5000, 0.2255) and Au at (0.0000, 0.0000, 0.5000).

---

5.
A geometry-optimized Nd6InSn3 structure, computed with PBE.

As for the energy relative to the elements: -0.442 eV per atom. The density of states at the Fermi level comes out at 38.16 states/eV/cell. The total energy is -4.777 eV per atom.

The space group is Cmc2_1 (No. 36) and the conventional cell measures 10.9953, 15.9073 and 7.5059 Å, with angles of 90.00, 90.00 and 90.00 degrees. The inequivalent atoms are Nd at (0.0000, 0.0359, 0.0000), Nd at (0.0000, 0.2896, 0.0713), Nd at (0.2010, 0.2992, 0.5134), Nd at (0.2177, 0.4604, 0.1636), In at (0.0000, 0.1646, 0.6842), Sn at (0.0000, 0.4419, 0.4386) and Sn at (0.1422, 0.1267, 0.3232).

---

6.
A geometry-optimized NaH3Pd structure, computed with PBE.

For the energy above the most stable polymorph in this dataset, the calculation gives 136.7 meV per atom. The density of states at the Fermi level comes out at 0.00 states/eV/cell. The total energy is -3.441 eV per atom.

The space group is Pmmn (No. 59, origin choice 2) and the conventional cell measures 3.2043, 4.7521 and 6.2141 Å, with angles of 90.00, 90.00 and 90.00 degrees. The inequivalent atoms are Na at (0.2500, 0.2500, 0.1278), H at (0.2500, 0.0231, 0.6174), H at (0.2500, 0.7500, 0.1214) and Pd at (0.2500, 0.7500, 0.4084).

---

7.
A geometry-optimized Ac3SbS2 structure, computed with PBE.

As for the formation energy from raw total energies: -1.16 eV/atom. For the energy above the most stable polymorph in this dataset, the calculation gives 540.5 meV per atom. The density of states at the Fermi level comes out at 15.51 states/eV/cell. The total energy is -5.280 eV per atom.

The space group is Cmcm (No. 63) and the conventional cell measures 11.5891, 12.6462 and 6.8538 Å, with angles of 90.00, 90.00 and 90.00 degrees. The inequivalent atoms are Ac at (0.0000, 0.1096, 0.2500), Ac at (0.1639, 0.4088, 0.2500), Sb at (0.0000, 0.3716, 0.7500) and S at (0.1618, 0.0000, 0.0000).

---

8.
A geometry-optimized LiEuHo2 structure, computed with PBE.

For the energy above the most stable polymorph in this dataset, the calculation gives 80.9 meV per atom. As for the energy relative to the elements: 0.221 eV per atom. The density of states at the Fermi level comes out at 4.07 states/eV/cell. The total energy is -5.115 eV per atom.

The space group is P4/mmm (No. 123) and the conventional cell measures 5.5440, 5.5440 and 3.9386 Å, with angles of 90.00, 90.00 and 90.00 degrees. The inequivalent atoms are Li at (0.0000, 0.0000, 0.0000), Eu at (0.5000, 0.5000, 0.0000) and Ho at (0.0000, 0.5000, 0.5000).